Record 1
VASP calculation (GGA-PBEsol) on a relaxed SrHf2As crystal.

Unit cell a=5.0291 b=5.0291 c=10.2507 alpha=104.20 beta=104.20 gamma=90.00
Element x y z (fractional)
Sr 0.0000 0.0000 0.0000
Sr 0.2500 0.7500 0.5000
As 0.5000 0.5000 0.0000
As 0.7500 0.2500 0.5000
Hf 0.6250 0.3750 0.7500
Hf 0.1250 0.3750 0.7500
Hf 0.6250 0.8750 0.2500
Hf 0.6250 0.3750 0.2500

Summary:
* space group: I4_1/amd
* E_form: 309 meV per atom
* density of states at the Fermi level: 0.818 states/eV/atom
* total magnetization: 0.0 μB per formula unit


Record 2
VASP calculation (GGA-PBEsol) on a relaxed Hf2TcAs2 crystal.

Unit cell a=3.4896 b=3.4896 c=7.9046 alpha=102.75 beta=102.75 gamma=90.00
Element x y z (fractional)
As 0.2500 0.7500 0.5000
As 0.7500 0.2500 0.5000
Hf 0.3993 0.3993 0.7986
Hf 0.6007 0.6007 0.2014
Tc 0.0000 0.0000 0.0000

Summary:
* space group: I4/mmm
* E_form: -243 meV per atom
* density of states at the Fermi level: 0.425 states/eV/atom
* total magnetization: 0.0 μB per formula unit


Record 3
VASP calculation (GGA-PBEsol) on a relaxed HfTcAs3 crystal.

Unit cell a=4.7246 b=4.7246 c=4.7246 alpha=90.00 beta=90.00 gamma=90.00
Element x y z (fractional)
As 0.0000 0.5000 0.0000
As 0.0000 0.0000 0.5000
As 0.5000 0.0000 0.0000
Hf 0.5000 0.5000 0.5000
Tc 0.0000 0.0000 0.0000

Summary:
* space group: Pm-3m
* E_form: 608 meV per atom
* density of states at the Fermi level: 1.376 states/eV/atom
* total magnetization: 0.0 μB per formula unit


Record 4
VASP calculation (GGA-PBEsol) on a relaxed HfTe2As crystal.

Unit cell a=6.3925 b=6.3925 c=6.3925 alpha=105.80 beta=105.80 gamma=117.09
Element x y z (fractional)
As 0.5000 0.5000 0.0000
As 0.7500 0.2500 0.5000
Te 0.8749 0.8750 0.4999
Te 0.3751 0.3750 0.5001
Te 0.1250 0.6249 0.9999
Te 0.6250 0.1251 0.0001
Hf 0.0000 0.0000 0.0000
Hf 0.2500 0.7500 0.5000

Summary:
* formation energy from raw total energies: 0.0534 eV per atom
* space group: I-42d
* density of states at the Fermi level: 0.599 states/eV/atom
* total magnetization: 0.0 μB per formula unit


Record 5
VASP calculation (GGA-PBEsol) on a relaxed Hf2Ti2As crystal.

Unit cell a=3.8528 b=3.8528 c=7.1028 alpha=105.74 beta=105.74 gamma=90.00
Element x y z (fractional)
As 0.0000 0.0000 0.0000
Hf 0.2500 0.7500 0.5000
Hf 0.7500 0.2500 0.5000
Ti 0.4168 0.4168 0.8336
Ti 0.5832 0.5832 0.1664

Summary:
* space group: I4/mmm
* E_form: 505 meV per atom
* density of states at the Fermi level: 1.484 states/eV/atom
* total magnetization: 0.0 μB per formula unit


Record 6
VASP calculation (GGA-PBEsol) on a relaxed HfTi3As crystal.

Unit cell a=4.7375 b=4.7375 c=4.7375 alpha=90.00 beta=90.00 gamma=90.00
Element x y z (fractional)
As 0.5000 0.5000 0.5000
Hf 0.0000 0.0000 0.0000
Ti 0.0000 0.5000 0.0000
Ti 0.0000 0.0000 0.5000
Ti 0.5000 0.0000 0.0000

Summary:
* space group: Pm-3m
* E_form: 1192 meV per atom
* density of states at the Fermi level: 1.340 states/eV/atom
* total magnetization: 1.9 μB per formula unit


Record 7
VASP calculation (GGA-PBEsol) on a relaxed HfTiAs2 crystal.

Unit cell a=5.8015 b=5.8015 c=7.1317 alpha=114.00 beta=114.00 gamma=90.00
Element x y z (fractional)
As 0.3903 0.8750 0.2500
As 0.8597 0.3750 0.2500
As 0.1250 0.1403 0.7500
As 0.6250 0.6097 0.7500
Hf 0.2500 0.7500 0.5000
Hf 0.0000 0.0000 0.0000
Ti 0.7500 0.2500 0.5000
Ti 0.5000 0.5000 0.0000

Summary:
* space group: I-42d
* E_form: -250 meV per atom
* density of states at the Fermi level: 0.763 states/eV/atom
* total magnetization: 0.0 μB per formula unit


Record 8
VASP calculation (GGA-PBEsol) on a relaxed Hf2TiAs crystal.

Unit cell a=5.3655 b=6.0648 c=6.0648 alpha=78.72 beta=63.75 gamma=63.75
Element x y z (fractional)
As 0.0000 0.0000 0.0000
As 0.7500 0.5000 0.5000
Hf 0.6611 0.9639 0.4639
Hf 0.0889 0.0361 0.5361
Hf 0.3750 0.5361 0.9639
Hf 0.8750 0.4639 0.0361
Ti 0.5000 0.0000 0.0000
Ti 0.2500 0.5000 0.5000

Summary:
* space group: I-42d
* E_form: 7 meV per atom
* density of states at the Fermi level: 0.982 states/eV/atom
* total magnetization: 0.0 μB per formula unit


Record 9
VASP calculation (GGA-PBEsol) on a relaxed Hf9AsW4 crystal.

Unit cell a=8.5879 b=8.5879 c=8.6118 alpha=90.00 beta=90.00 gamma=120.00
Element x y z (fractional)
Hf 0.6090 0.8045 0.4541
Hf 0.3910 0.1955 0.9541
Hf 0.1955 0.3910 0.4541
Hf 0.1955 0.8045 0.4541
Hf 0.8045 0.1955 0.9541
Hf 0.8045 0.6090 0.9541
Hf 0.3910 0.1955 0.5459
Hf 0.8045 0.1955 0.5459
Hf 0.8045 0.6090 0.5459
Hf 0.1955 0.3910 0.0459
Hf 0.1955 0.8045 0.0459
Hf 0.6090 0.8045 0.0459
Hf 0.9204 0.4602 0.2500
Hf 0.0796 0.5398 0.7500
Hf 0.5398 0.0796 0.2500
Hf 0.5398 0.4602 0.2500
Hf 0.4602 0.5398 0.7500
Hf 0.4602 0.9204 0.7500
As 0.3333 0.6667 0.2500
As 0.6667 0.3333 0.7500
W 0.0000 0.0000 0.5000
W 0.0000 0.0000 0.0000
W 0.2200 0.1100 0.2500
W 0.7800 0.8900 0.7500
W 0.8900 0.7800 0.2500
W 0.8900 0.1100 0.2500
W 0.1100 0.8900 0.7500
W 0.1100 0.2200 0.7500

Summary:
* space group: P6_3/mmc
* E_form: -259 meV per atom
* density of states at the Fermi level: 0.586 states/eV/atom
* total magnetization: 0.0 μB per formula unit


Record 10
VASP calculation (GGA-PBEsol) on a relaxed HfAs3W crystal.

Unit cell a=4.8028 b=4.8028 c=4.8028 alpha=90.00 beta=90.00 gamma=90.00
Element x y z (fractional)
As 0.0000 0.5000 0.0000
As 0.0000 0.0000 0.5000
As 0.5000 0.0000 0.0000
Hf 0.5000 0.5000 0.5000
W 0.0000 0.0000 0.0000

Summary:
* space group: Pm-3m
* E_form: 738 meV per atom
* density of states at the Fermi level: 1.097 states/eV/atom
* total magnetization: 0.0 μB per formula unit


Record 11
VASP calculation (GGA-PBEsol) on a relaxed YHfAs2 crystal.

Unit cell a=6.1972 b=6.1972 c=7.4641 alpha=114.53 beta=114.53 gamma=90.00
Element x y z (fractional)
Y 0.7500 0.2500 0.5000
Y 0.5000 0.5000 0.0000
As 0.3478 0.8750 0.2500
As 0.9022 0.3750 0.2500
As 0.1250 0.0978 0.7500
As 0.6250 0.6522 0.7500
Hf 0.2500 0.7500 0.5000
Hf 0.0000 0.0000 0.0000

Summary:
* space group: I-42d
* E_form: -619 meV per atom
* density of states at the Fermi level: 0.611 states/eV/atom
* total magnetization: 0.0 μB per formula unit


Record 12
VASP calculation (GGA-PBEsol) on a relaxed Hf3ZnAs crystal.

Unit cell a=4.8095 b=4.8095 c=4.8095 alpha=90.00 beta=90.00 gamma=90.00
Element x y z (fractional)
As 0.5000 0.5000 0.5000
Hf 0.0000 0.5000 0.0000
Hf 0.0000 0.0000 0.5000
Hf 0.5000 0.0000 0.0000
Zn 0.0000 0.0000 0.0000

Summary:
* space group: Pm-3m
* E_form: 584 meV per atom
* density of states at the Fermi level: 0.844 states/eV/atom
* total magnetization: 0.0 μB per formula unit


Record 13
VASP calculation (GGA-PBEsol) on a relaxed HfZr2As2 crystal.

Unit cell a=3.6350 b=7.1522 c=7.1522 alpha=90.00 beta=90.00 gamma=90.00
Element x y z (fractional)
As 0.0000 0.3573 0.8573
As 0.0000 0.8573 0.6427
As 0.0000 0.6427 0.1427
As 0.0000 0.1427 0.3573
Hf 0.0000 0.0000 0.0000
Hf 0.0000 0.5000 0.5000
Zr 0.5000 0.1586 0.6586
Zr 0.5000 0.6586 0.8414
Zr 0.5000 0.8414 0.3414
Zr 0.5000 0.3414 0.1586

Summary:
* space group: P4/mbm
* E_form: -1063 meV per atom
* density of states at the Fermi level: 0.347 states/eV/atom
* total magnetization: 0.0 μB per formula unit


Record 14
VASP calculation (GGA-PBEsol) on a relaxed HfZrAs3 crystal.

Unit cell a=4.9905 b=4.9905 c=4.9905 alpha=90.00 beta=90.00 gamma=90.00
Element x y z (fractional)
As 0.0000 0.5000 0.0000
As 0.0000 0.0000 0.5000
As 0.5000 0.0000 0.0000
Hf 0.5000 0.5000 0.5000
Zr 0.0000 0.0000 0.0000

Summary:
* space group: Pm-3m
* E_form: 450 meV per atom
* density of states at the Fermi level: 0.738 states/eV/atom
* total magnetization: 0.0 μB per formula unit


Record 15
VASP calculation (GGA-PBEsol) on a relaxed HgAs crystal.

Unit cell a=4.8091 b=4.8091 c=10.5951 alpha=90.00 beta=90.00 gamma=120.00
Element x y z (fractional)
As 0.6667 0.3333 0.0068
As 0.3333 0.6667 0.5068
As 0.3333 0.6667 0.9932
As 0.6667 0.3333 0.4932
Hg 0.0000 0.0000 0.7500
Hg 0.0000 0.0000 0.2500
Hg 0.6667 0.3333 0.2500
Hg 0.3333 0.6667 0.7500

Summary:
* space group: P6_3/mmc
* E_form: 239 meV per atom
* density of states at the Fermi level: 0.182 states/eV/atom
* total magnetization: 0.0 μB per formula unit


Record 16
VASP calculation (GGA-PBEsol) on a relaxed Hg3As crystal.

Unit cell a=4.2027 b=4.2027 c=5.7361 alpha=111.49 beta=111.49 gamma=90.00
Element x y z (fractional)
As 0.0000 0.0000 0.0000
Hg 0.2500 0.7500 0.5000
Hg 0.7500 0.2500 0.5000
Hg 0.5000 0.5000 0.0000

Summary:
* space group: I4/mmm
* E_form: 212 meV per atom
* density of states at the Fermi level: 0.379 states/eV/atom
* total magnetization: 0.0 μB per formula unit


Record 17
VASP calculation (GGA-PBEsol) on a relaxed HgAs crystal.

Unit cell a=3.7091 b=3.7091 c=7.9379 alpha=76.49 beta=76.49 gamma=60.00
Element x y z (fractional)
As 0.1363 0.1363 0.5912
As 0.8637 0.8637 0.4088
Hg 0.6216 0.6216 0.1351
Hg 0.3784 0.3784 0.8649

Summary:
* space group: R-3m
* E_form: 48 meV per atom
* density of states at the Fermi level: 0.335 states/eV/atom
* total magnetization: 0.0 μB per formula unit


Record 18
VASP calculation (GGA-PBEsol) on a relaxed HgAs crystal.

Unit cell a=4.2569 b=4.2569 c=4.2569 alpha=60.00 beta=60.00 gamma=60.00
Element x y z (fractional)
As 0.0000 0.0000 0.0000
Hg 0.2500 0.2500 0.2500

Summary:
* space group: F-43m
* E_form: 320 meV per atom
* density of states at the Fermi level: 0.685 states/eV/atom
* total magnetization: 0.0 μB per formula unit


Record 19
VASP calculation (GGA-PBEsol) on a relaxed HgAs crystal.

Unit cell a=3.5360 b=3.5360 c=9.2284 alpha=90.00 beta=90.00 gamma=120.00
Element x y z (fractional)
As 0.3333 0.6667 0.0770
As 0.6667 0.3333 0.9230
Hg 0.3333 0.6667 0.6340
Hg 0.6667 0.3333 0.3660

Summary:
* space group: P-3m1
* E_form: 74 meV per atom
* density of states at the Fermi level: 0.135 states/eV/atom
* total magnetization: 0.0 μB per formula unit


Record 20
VASP calculation (GGA-PBEsol) on a relaxed Hg2AsI crystal.

Unit cell a=6.3940 b=6.3940 c=7.9816 alpha=113.61 beta=113.61 gamma=90.00
Element x y z (fractional)
I 0.2500 0.7500 0.5000
I 0.0000 0.0000 0.0000
As 0.7500 0.2500 0.5000
As 0.5000 0.5000 0.0000
Hg 0.7953 0.3750 0.2500
Hg 0.4547 0.8750 0.2500
Hg 0.6250 0.5453 0.7500
Hg 0.1250 0.2047 0.7500

Summary:
* formation energy from raw total energies: -0.0731 eV per atom
* space group: I-42d
* density of states at the Fermi level: 0.101 states/eV/atom
* total magnetization: 0.0 μB per formula unit